Computed, not measured: CsPt6 after structural relaxation at the PBE level of DFT.

Its total magnetization is 2.16 μB/f.u. The value obtained for the formation energy is 0.36 eV per atom.

a b c (Å): 7.144 7.144 7.144
angles (deg): 90.00 90.00 90.00
Fractional coordinates of all 14 atoms:
1 Cs 0.000 0.000 0.000
2 Cs 0.500 0.500 0.500
3 Pt 0.000 0.250 0.500
4 Pt 0.000 0.500 0.250
5 Pt 0.000 0.500 0.750
6 Pt 0.000 0.750 0.500
7 Pt 0.250 0.000 0.500
8 Pt 0.250 0.500 0.000
9 Pt 0.500 0.000 0.250
10 Pt 0.500 0.000 0.750
11 Pt 0.500 0.250 0.000
12 Pt 0.500 0.750 0.000
13 Pt 0.750 0.000 0.500
14 Pt 0.750 0.500 0.000

=====

Computed, not measured: Cs5Pt after structural relaxation at the PBE level of DFT.

Its total magnetization is 0.00 μB/f.u. The value obtained for the formation energy is 0.00 eV per atom.

a b c (Å): 18.932 4.822 10.677
angles (deg): 90.00 93.58 90.00
Fractional coordinates of all 12 atoms:
1 Cs 0.000 0.000 0.000
2 Cs 0.059 0.500 0.447
3 Cs 0.159 0.000 0.770
4 Cs 0.282 0.000 0.228
5 Cs 0.402 0.500 0.659
6 Cs 0.500 0.500 0.000
7 Cs 0.559 0.000 0.447
8 Cs 0.659 0.500 0.770
9 Cs 0.782 0.500 0.228
10 Cs 0.902 0.000 0.659
11 Pt 0.025 0.500 0.761
12 Pt 0.525 0.000 0.761

=====

Computed, not measured: Cs2Pt3 after structural relaxation at the PBE level of DFT.

Its total magnetization is 0.00 μB/f.u. The value obtained for the formation energy is -0.22 eV per atom.

a b c (Å): 7.986 4.610 11.354
angles (deg): 90.00 101.94 90.00
Fractional coordinates of all 10 atoms:
1 Cs 0.243 0.000 0.261
2 Cs 0.257 0.500 0.739
3 Cs 0.743 0.500 0.261
4 Cs 0.757 0.000 0.739
5 Pt 0.000 0.500 0.000
6 Pt 0.161 0.000 0.980
7 Pt 0.339 0.500 0.020
8 Pt 0.500 0.000 0.000
9 Pt 0.661 0.500 0.980
10 Pt 0.839 0.000 0.020

=====

Computed, not measured: Cs4Pt after structural relaxation at the PBE level of DFT.

Its total magnetization is 0.00 μB/f.u. The value obtained for the formation energy is 0.01 eV per atom.

a b c (Å): 9.325 9.325 8.609
angles (deg): 90.00 90.00 90.00
Fractional coordinates of all 10 atoms:
1 Cs 0.151 0.263 0.000
2 Cs 0.151 0.737 0.500
3 Cs 0.263 0.151 0.500
4 Cs 0.263 0.849 0.000
5 Cs 0.737 0.151 0.000
6 Cs 0.737 0.849 0.500
7 Cs 0.849 0.263 0.500
8 Cs 0.849 0.737 0.000
9 Pt 0.000 0.000 0.250
10 Pt 0.000 0.000 0.750

=====

Computed, not measured: CsPt after structural relaxation at the PBE level of DFT.

Its total magnetization is 0.00 μB/f.u. The value obtained for the formation energy is 0.45 eV per atom.

a b c (Å): 7.625 7.625 6.438
angles (deg): 90.00 90.00 90.00
Fractional coordinates of all 8 atoms:
1 Cs 0.200 0.200 0.000
2 Cs 0.300 0.700 0.500
3 Cs 0.700 0.300 0.500
4 Cs 0.800 0.800 0.000
5 Pt 0.115 0.115 0.500
6 Pt 0.385 0.615 0.000
7 Pt 0.615 0.385 0.000
8 Pt 0.885 0.885 0.500

=====

Computed, not measured: CsPt4 after structural relaxation at the PBE level of DFT.

Its total magnetization is 0.00 μB/f.u. The value obtained for the formation energy is 2.41 eV per atom.

a b c (Å): 5.087 5.087 5.087
angles (deg): 90.00 90.00 90.00
Fractional coordinates of all 5 atoms:
1 Cs 0.000 0.000 0.000
2 Pt 0.000 0.000 0.500
3 Pt 0.000 0.500 0.000
4 Pt 0.500 0.000 0.000
5 Pt 0.500 0.500 0.500

=====

Computed, not measured: CsPt2 after structural relaxation at the PBE level of DFT.

Its total magnetization is 0.00 μB/f.u. The value obtained for the formation energy is 0.34 eV per atom.

a b c (Å): 3.669 5.494 16.903
angles (deg): 90.00 90.00 90.00
Fractional coordinates of all 12 atoms:
1 Cs 0.000 0.000 0.182
2 Cs 0.000 0.000 0.818
3 Cs 0.500 0.500 0.318
4 Cs 0.500 0.500 0.682
5 Pt 0.000 0.266 0.500
6 Pt 0.000 0.500 0.080
7 Pt 0.000 0.500 0.920
8 Pt 0.000 0.734 0.500
9 Pt 0.500 0.000 0.420
10 Pt 0.500 0.000 0.580
11 Pt 0.500 0.234 0.000
12 Pt 0.500 0.766 0.000

=====

Computed, not measured: CsPt after structural relaxation at the PBE level of DFT.

Its total magnetization is 0.00 μB/f.u. The value obtained for the formation energy is 0.90 eV per atom.

a b c (Å): 6.547 6.547 6.547
angles (deg): 90.00 90.00 90.00
Fractional coordinates of all 8 atoms:
1 Cs 0.000 0.000 0.000
2 Cs 0.000 0.500 0.500
3 Cs 0.500 0.000 0.500
4 Cs 0.500 0.500 0.000
5 Pt 0.000 0.000 0.500
6 Pt 0.000 0.500 0.000
7 Pt 0.500 0.000 0.000
8 Pt 0.500 0.500 0.500

=====

Computed, not measured: CsPt after structural relaxation at the PBE level of DFT.

Its total magnetization is 0.00 μB/f.u. The value obtained for the formation energy is -0.02 eV per atom.

a b c (Å): 12.727 12.727 4.819
angles (deg): 90.00 90.00 90.00
Fractional coordinates of all 16 atoms:
1 Cs 0.000 0.251 0.000
2 Cs 0.000 0.749 0.000
3 Cs 0.249 0.500 0.500
4 Cs 0.251 0.000 0.000
5 Cs 0.500 0.249 0.500
6 Cs 0.500 0.751 0.500
7 Cs 0.749 0.000 0.000
8 Cs 0.751 0.500 0.500
9 Pt 0.232 0.232 0.500
10 Pt 0.232 0.768 0.500
11 Pt 0.268 0.268 0.000
12 Pt 0.268 0.732 0.000
13 Pt 0.732 0.268 0.000
14 Pt 0.732 0.732 0.000
15 Pt 0.768 0.232 0.500
16 Pt 0.768 0.768 0.500

=====

Computed, not measured: Cs4Pt after structural relaxation at the PBE level of DFT.

Its total magnetization is 0.00 μB/f.u. The value obtained for the formation energy is 0.05 eV per atom.

a b c (Å): 7.055 7.055 7.055
angles (deg): 90.00 90.00 90.00
Fractional coordinates of all 5 atoms:
1 Cs 0.000 0.000 0.000
2 Cs 0.000 0.500 0.500
3 Cs 0.500 0.000 0.500
4 Cs 0.500 0.500 0.000
5 Pt 0.500 0.500 0.500

=====

Computed, not measured: CsPu4Pt3S12 after structural relaxation at the PBE level of DFT.

Its total magnetization is 14.98 μB/f.u. For the formation energy from raw total energies, the calculation gives -0.91 eV/atom.

a b c (Å): 8.504 8.504 8.504
angles (deg): 109.47 109.47 109.47
Fractional coordinates of all 20 atoms:
1 Cs 0.000 0.000 0.000
2 Pu 0.000 0.000 0.500
3 Pu 0.000 0.500 0.000
4 Pu 0.500 0.000 0.000
5 Pu 0.500 0.500 0.500
6 Pt 0.000 0.500 0.500
7 Pt 0.500 0.000 0.500
8 Pt 0.500 0.500 0.000
9 S 0.162 0.836 0.326
10 S 0.164 0.326 0.490
11 S 0.164 0.674 0.838
12 S 0.326 0.162 0.836
13 S 0.326 0.490 0.164
14 S 0.490 0.164 0.326
15 S 0.510 0.836 0.674
16 S 0.674 0.510 0.836
17 S 0.674 0.838 0.164
18 S 0.836 0.326 0.162
19 S 0.836 0.674 0.510
20 S 0.838 0.164 0.674